1.
Computed, not measured: Zr2TeHC after structural relaxation at the PBE level of DFT.

Properties
symmetry = No. 123
N(E_F) = 1.88 states/eV/f.u.
crystal system = tetragonal
VASP energy = -6.286 eV per atom

Cell: 4.781 3.238 4.781 Å, 90.00 90.00 90.00°
Atoms (fractional coordinates):
1 Zr 0.000 0.000 0.500
2 Zr 0.500 0.000 0.000
3 H 0.000 0.000 0.000
4 Te 0.500 0.500 0.500
5 C 0.000 0.500 0.000

---

2.
Computed, not measured: Si2Ni2Au after structural relaxation at the PBE level of DFT.

Properties
symmetry = No. 127
N(E_F) = 2.81 states/eV/f.u.
polymorph energy (0 for the lowest one) = 0 meV/atom
formation energy (no corrections) = -212 meV/atom
crystal system = tetragonal

Cell: 6.918 6.918 2.726 Å, 90.00 90.00 90.00°
Atoms (fractional coordinates):
1 Ni 0.638 0.862 0.500
2 Ni 0.362 0.138 0.500
3 Ni 0.862 0.362 0.500
4 Ni 0.138 0.638 0.500
5 Si 0.151 0.349 0.000
6 Si 0.651 0.151 0.000
7 Si 0.849 0.651 0.000
8 Si 0.349 0.849 0.000
9 Au 0.500 0.500 0.000
10 Au 0.000 0.000 0.000

---

3.
Computed, not measured: AlAg2Pt after structural relaxation at the PBE level of DFT.

Properties
symmetry = No. 65
N(E_F) = 1.59 states/eV/f.u.
polymorph energy (0 for the lowest one) = 203 meV/atom
crystal system = orthorhombic
energy of formation = -0.1500 eV/atom

Cell: 4.999 4.999 2.920 Å, 90.00 90.00 114.54°
Atoms (fractional coordinates):
1 Ag 0.000 0.000 0.000
2 Ag 0.500 0.500 0.000
3 Pt 0.000 0.500 0.500
4 Al 0.500 0.000 0.500

---

4.
Computed, not measured: Tc2Ge after structural relaxation at the PBE level of DFT.

Properties
symmetry = No. 139
N(E_F) = 1.32 states/eV/f.u.
polymorph energy (0 for the lowest one) = 0 meV/atom
crystal system = tetragonal
energy of formation = -0.1234 eV/atom

Cell: 2.985 2.985 5.260 Å, 106.48 106.48 90.00°
Atoms (fractional coordinates):
1 Ge 0.000 0.000 0.000
2 Tc 0.338 0.338 0.676
3 Tc 0.662 0.662 0.324